A plane-wave DFT calculation with GGA-PBE was carried out for crystalline Sr2HgF6 at its relaxed geometry.

Lattice parameters (Å, degrees): 5.9836 6.8192 7.8694 90.00 94.66 90.00
Closest atoms and distances in Å follow each position.
Atoms (fractional coordinates):
1 Sr 0.9759 0.4029 0.7400  6 F 2.45-2.75
2 Sr 0.5241 0.9029 0.7600  6 F 2.45-2.75
3 Sr 0.4759 0.0971 0.2400  6 F 2.45-2.75
4 Sr 0.0241 0.5971 0.2600  6 F 2.45-2.75
5 Hg 0.5000 0.5000 0.0000  6 F 2.26-2.37
6 Hg 0.0000 0.0000 0.5000  6 F 2.26-2.37
7 F 0.8327 0.9196 0.2418  1 Hg 2.26, 2 Sr 2.45-2.48
8 F 0.8651 0.6813 0.5544  1 Hg 2.37, 2 Sr 2.45-2.64
9 F 0.8265 0.6530 0.9284  1 Hg 2.32, 1 Sr 2.47
10 F 0.6735 0.1530 0.5716  1 Hg 2.32, 1 Sr 2.47
11 F 0.6349 0.1813 0.9456  1 Hg 2.37, 2 Sr 2.45-2.64
12 F 0.6673 0.4196 0.2582  1 Hg 2.26, 2 Sr 2.45-2.48
13 F 0.1673 0.0804 0.7582  1 Hg 2.26, 2 Sr 2.45-2.48
14 F 0.1349 0.3187 0.4456  1 Hg 2.37, 2 Sr 2.45-2.64
15 F 0.1735 0.3470 0.0716  1 Hg 2.32, 1 Sr 2.47
16 F 0.3265 0.8470 0.4284  1 Hg 2.32, 1 Sr 2.47
17 F 0.3651 0.8187 0.0544  1 Hg 2.37, 2 Sr 2.45-2.64
18 F 0.3327 0.5804 0.7418  1 Hg 2.26, 2 Sr 2.45-2.48

Properties
- Space-group type: P2_1/c, No. 14

---

A plane-wave DFT calculation with GGA-PBE was carried out for crystalline Sr4Hg6F19 at its relaxed geometry.

Lattice parameters (Å, degrees): 8.7688 8.7688 8.7688 109.47 109.47 109.47
Closest atoms and distances in Å follow each position.
Atoms (fractional coordinates):
1 Sr 0.0000 0.0000 0.7135  7 F 2.47-2.56
2 Sr 0.0000 0.7135 0.0000  7 F 2.47-2.56
3 Sr 0.2865 0.2865 0.2865  7 F 2.47-2.56
4 Sr 0.7135 0.0000 0.0000  7 F 2.47-2.56
5 Hg 0.3497 0.5000 0.8497  4 F 2.26-2.38
6 Hg 0.6503 0.5000 0.1503  4 F 2.26-2.38
7 Hg 0.1503 0.6503 0.5000  4 F 2.26-2.38
8 Hg 0.8497 0.3497 0.5000  4 F 2.26-2.38
9 Hg 0.5000 0.8497 0.3497  4 F 2.26-2.38
10 Hg 0.5000 0.1503 0.6503  4 F 2.26-2.38
11 F 0.7050 0.0000 0.7050  2 Sr 2.56, 2 Hg 2.57
12 F 0.2950 0.0000 0.2950  2 Sr 2.56, 2 Hg 2.57
13 F 0.2950 0.2950 0.0000  2 Sr 2.56, 2 Hg 2.57
14 F 0.7050 0.7050 0.0000  2 Sr 2.56, 2 Hg 2.57
15 F 0.0000 0.7050 0.7050  2 Sr 2.56, 2 Hg 2.57
16 F 0.0000 0.2950 0.2950  2 Sr 2.56, 2 Hg 2.57
17 F 0.0000 0.0000 0.0000  4 Sr 2.51
18 F 0.3933 0.3585 0.6133  2 Hg 2.26-2.38, 1 Sr 2.47
19 F 0.6067 0.2200 0.9652  2 Hg 2.26-2.38, 1 Sr 2.47
20 F 0.7452 0.7800 0.3867  2 Hg 2.26-2.38, 1 Sr 2.47
21 F 0.9652 0.6067 0.2200  2 Hg 2.26-2.38, 1 Sr 2.47
22 F 0.2548 0.6415 0.0348  2 Hg 2.26-2.38, 1 Sr 2.47
23 F 0.6133 0.3933 0.3585  2 Hg 2.26-2.38, 1 Sr 2.47
24 F 0.0348 0.2548 0.6415  2 Hg 2.26-2.38, 1 Sr 2.47
25 F 0.3867 0.7452 0.7800  2 Hg 2.26-2.38, 1 Sr 2.47
26 F 0.6415 0.0348 0.2548  2 Hg 2.26-2.38, 1 Sr 2.47
27 F 0.2200 0.9652 0.6067  2 Hg 2.26-2.38, 1 Sr 2.47
28 F 0.3585 0.6133 0.3933  2 Hg 2.26-2.38, 1 Sr 2.47
29 F 0.7800 0.3867 0.7452  2 Hg 2.26-2.38, 1 Sr 2.47

Properties
- Space-group type: I23, No. 197

---

A plane-wave DFT calculation with GGA-PBE was carried out for crystalline SrHg3F at its relaxed geometry.

Lattice parameters (Å, degrees): 6.4754 6.4754 6.4754 90.00 90.00 90.00
Closest atoms and distances in Å follow each position.
Atoms (fractional coordinates):
1 Sr 0.0000 0.0000 0.0000  6 Hg 3.24
2 Hg 0.0000 0.5000 0.0000  2 Sr 3.24
3 Hg 0.0000 0.0000 0.5000  2 Sr 3.24
4 Hg 0.5000 0.0000 0.0000  2 Sr 3.24
5 F 0.5000 0.5000 0.5000  12 Hg 4.58

Properties
- Space-group type: Pm-3m, No. 221

---

| no. | VASP energy (eV/cell) |
| --- | --- |
| 1 | -83.62 |
| 2 | -112.61 |
| 3 | -5.55 |